# Ba2CdPd3 | the Alexandria database | PBE | relaxed
# Energy above the lowest structure with this stoichiometry ... 14.1 kJ per mole of atoms
# Density ... 6.99 g cm⁻³
# DFT total energy ... -0.2728 Ry/atom
# Formation enthalpy at 0 K ... -0.322 eV/atom
data_Ba2CdPd3
_chemical_formula_sum 'Ba4 Cd2 Pd6'
_symmetry_space_group_name_H-M 'I m m m'
_symmetry_Int_Tables_number 71
_symmetry_space_group_name_Hall '-I 2 2'
_cell_length_a 4.8932
_cell_length_b 5.8705
_cell_length_c 11.6785
_cell_angle_alpha 90.00
_cell_angle_beta 90.00
_cell_angle_gamma 90.00
loop_
_atom_site_label
_atom_site_type_symbol
_atom_site_fract_x
_atom_site_fract_y
_atom_site_fract_z
Ba1 Ba 0.0000 0.0000 0.1790
Cd1 Cd 0.0000 0.0000 0.5000
Pd1 Pd 0.0000 0.5000 0.1158
Pd2 Pd 0.0000 0.5000 0.5000